VASP calculation (GGA-PBE) on a relaxed structure of InGeAu.

Output
Formation enthalpy at 0 K (meV/atom): -19
E (eV/atom): -3.56
Space-group type: No. 2

Unit cell a=6.370 b=4.521 c=5.791 alpha=69.70 beta=108.40 gamma=122.02
Sites, in units of the cell vectors:
In  0.601  0.171  0.676
In  0.024  0.077  0.451
Au  0.139  0.496  0.803
Au  0.486  0.752  0.324
Ge  0.059  0.826  0.048
Ge  0.565  0.422  0.080